Computed, not measured: CrTcP after structural relaxation at the PBE level of DFT.

a = 2.7909 Å, b = 2.7909 Å, c = 5.7321 Å
α = 90.00°, β = 90.00°, γ = 120.00°
Closest atoms and distances in Å follow each position.
Positions (direct):
Cr 0.0000 0.0000 0.0000  3 P 2.38, 3 Tc 2.60
Tc 0.3333 0.6667 0.6431  3 P 2.52, 3 Cr 2.60, 6 Tc 2.79
P 0.6667 0.3333 0.3058  3 Cr 2.38, 3 Tc 2.52

Computed properties:
volume = 38.7 Å³ per cell
E_form = -0.02 eV per atom

---

Computed, not measured: LiCuTc after structural relaxation at the PBE level of DFT.

a = 6.6586 Å, b = 6.6586 Å, c = 6.6586 Å
α = 158.23°, β = 158.23°, γ = 30.98°
Closest atoms and distances in Å follow each position.
Positions (direct):
Li 0.0000 0.0000 0.0000  4 Li 2.52, 4 Cu 2.74
Cu 0.6626 0.6626 0.0000  4 Cu 2.52, 4 Tc 2.73, 4 Li 2.74
Tc 0.3244 0.3244 0.0000  4 Tc 2.52, 4 Cu 2.73

Computed properties:
volume = 40.6 Å³ per cell
E_form = 0.18 eV per atom

---

What did the second record say?
Computed, not measured: LiCuTc after structural relaxation at the PBE level of DFT.

a = 6.6586 Å, b = 6.6586 Å, c = 6.6586 Å
α = 158.23°, β = 158.23°, γ = 30.98°
Closest atoms and distances in Å follow each position.
Positions (direct):
Li 0.0000 0.0000 0.0000  4 Li 2.52, 4 Cu 2.74
Cu 0.6626 0.6626 0.0000  4 Cu 2.52, 4 Tc 2.73, 4 Li 2.74
Tc 0.3244 0.3244 0.0000  4 Tc 2.52, 4 Cu 2.73

Computed properties:
volume = 40.6 Å³ per cell
E_form = 0.18 eV per atom

---

Look up the E_form of the first one.
-0.02 eV per atom

---

Among the records above, which one has the lowest volume?
CrTcP

---

Look up the volume of the first one.
38.7 Å³ per cell